[1]
CaTlCd10 | GGA-PBE | optimized geometry

## Properties
- space-group type = Pmmm, No. 47
- calculated formation energy (eV/atom) = -0.056
- spin magnetization (μB per cell) = 0.0

abc: 4.9536 6.0233 10.2127
angles: 90.00 90.00 90.00
Last column: nearest neighbours and their distance in Å.
Positions (direct):
Ca (0.0000, 0.0000, 0.0000)  14 Cd 3.43-3.79
Tl (0.0000, 0.5000, 0.5000)  6 Cd 3.37-3.45
Cd (0.0000, 0.0000, 0.3358)  6 Cd 2.99-3.03
Cd (0.0000, 0.0000, 0.6642)  6 Cd 2.99-3.03
Cd (0.0000, 0.5000, 0.1700)  6 Cd 3.01-3.02, 1 Tl 3.37
Cd (0.0000, 0.5000, 0.8300)  6 Cd 3.01-3.02, 1 Tl 3.37
Cd (0.5000, 0.0000, 0.5000)  8 Cd 2.99-3.02
Cd (0.5000, 0.2434, 0.2419)  8 Cd 2.91-3.09
Cd (0.5000, 0.2434, 0.7581)  8 Cd 2.91-3.09
Cd (0.5000, 0.5000, 0.0000)  8 Cd 2.91-3.02
Cd (0.5000, 0.7566, 0.2419)  8 Cd 2.91-3.09
Cd (0.5000, 0.7566, 0.7581)  8 Cd 2.91-3.09


[2]
Ca2Tl3Cd4 | GGA-PBE | optimized geometry

## Properties
- space-group type = C2/m, No. 12
- calculated formation energy (eV/atom) = -0.186
- spin magnetization (μB per cell) = 0.0

abc: 6.2955 6.2955 9.9557
angles: 108.13 108.13 40.97
Last column: nearest neighbours and their distance in Å.
Positions (direct):
Ca (0.1633, 0.1633, 0.2271)  5 Tl 3.28-3.34, 6 Cd 3.35-3.63
Ca (0.8367, 0.8367, 0.7729)  5 Tl 3.28-3.34, 6 Cd 3.35-3.63
Tl (0.1516, 0.1516, 0.5574)  5 Cd 3.20-3.31, 3 Ca 3.33-3.34, 1 Tl 3.37
Tl (0.5000, 0.5000, 0.0000)  4 Ca 3.28, 8 Cd 3.28-3.67
Tl (0.8484, 0.8484, 0.4426)  5 Cd 3.20-3.31, 3 Ca 3.33-3.34, 1 Tl 3.37
Cd (0.1704, 0.1704, 0.8934)  4 Cd 3.20-3.22, 3 Tl 3.28-3.38, 3 Ca 3.35-3.42
Cd (0.4883, 0.4883, 0.3251)  5 Tl 3.20-3.31, 3 Cd 3.22-3.40, 2 Ca 3.38
Cd (0.5117, 0.5117, 0.6749)  5 Tl 3.20-3.31, 3 Cd 3.22-3.40, 2 Ca 3.38
Cd (0.8296, 0.8296, 0.1066)  4 Cd 3.20-3.22, 3 Tl 3.28-3.38, 3 Ca 3.35-3.42


[3]
Ca6Tl5Cd | GGA-PBE | optimized geometry

## Properties
- space-group type = Cmmm, No. 65
- calculated formation energy (eV/atom) = -0.430
- spin magnetization (μB per cell) = 0.0

abc: 8.7116 8.7116 7.7335
angles: 90.00 90.00 143.24
Last column: nearest neighbours and their distance in Å.
Positions (direct):
Ca (0.0000, 0.0000, 0.2493)  6 Tl 3.35-3.37, 2 Cd 3.36
Ca (0.0000, 0.0000, 0.7507)  6 Tl 3.35-3.37, 2 Cd 3.36
Ca (0.3338, 0.6662, 0.2498)  7 Tl 3.36-3.39, 1 Cd 3.36
Ca (0.3338, 0.6662, 0.7502)  7 Tl 3.36-3.39, 1 Cd 3.36
Ca (0.6662, 0.3338, 0.2498)  7 Tl 3.36-3.39, 1 Cd 3.36
Ca (0.6662, 0.3338, 0.7502)  7 Tl 3.36-3.39, 1 Cd 3.36
Tl (0.1654, 0.8346, 0.5000)  8 Ca 3.35-3.39
Tl (0.1671, 0.8329, 0.0000)  8 Ca 3.36-3.37
Tl (0.5000, 0.5000, 0.0000)  8 Ca 3.36
Tl (0.8329, 0.1671, 0.0000)  8 Ca 3.36-3.37
Tl (0.8346, 0.1654, 0.5000)  8 Ca 3.35-3.39
Cd (0.5000, 0.5000, 0.5000)  8 Ca 3.36